No. 1
# AcHBr

A relaxed AcHBr crystal (PBE-GGA, Alexandria via LeMat-Bulk).

```
AcHBr
1.0
-5.351 3.586 -0.965
-3.535 -4.789 1.806
0.701 4.947 14.494
H Ac Br
8 8 8
Direct
0.231 0.166 0.961
0.731 0.834 0.039
0.731 0.334 0.461
0.231 0.666 0.539
0.739 0.423 0.295
0.239 0.577 0.705
0.239 0.077 0.795
0.739 0.923 0.205
0.567 0.101 0.335
0.067 0.899 0.665
0.067 0.399 0.835
0.567 0.601 0.165
0.026 0.022 0.107
0.526 0.978 0.893
0.526 0.478 0.607
0.026 0.522 0.393
0.265 0.163 0.503
0.765 0.837 0.497
0.765 0.337 0.003
0.265 0.663 0.997
0.073 0.033 0.314
0.573 0.967 0.686
0.573 0.467 0.814
0.073 0.533 0.186
```

Computed properties:
* energy above the most stable polymorph in this dataset: 0.148 eV/atom
* space-group type: Pna2_1, No. 33

---

No. 2
# AcHBr2

A relaxed AcHBr2 crystal (PBE-GGA, Alexandria via LeMat-Bulk).

```
AcHBr2
1.0
4.201 0.000 0.930
1.999 3.697 0.922
0.444 0.284 7.949
Ac H Br
1 1 2
Direct
0.136 0.899 0.829
0.469 0.232 0.829
0.890 0.653 0.567
0.715 0.478 0.092
```

Computed properties:
* electronic total energy: -17.3 eV/cell
* space-group type: R3m, No. 160

---

No. 3
# Ac2HBr5

A relaxed Ac2HBr5 crystal (PBE-GGA, Alexandria via LeMat-Bulk).

```
Ac2HBr5
1.0
3.940 0.000 0.000
-1.970 7.354 0.000
0.000 0.000 20.242
Ac H Br
4 2 10
Direct
0.737 0.474 0.348
0.737 0.474 0.152
0.263 0.526 0.652
0.263 0.526 0.848
0.814 0.628 0.750
0.186 0.372 0.250
0.909 0.818 0.889
0.909 0.818 0.611
0.340 0.679 0.434
0.340 0.679 0.066
0.373 0.746 0.250
0.627 0.254 0.750
0.660 0.321 0.566
0.660 0.321 0.934
0.091 0.182 0.111
0.091 0.182 0.389
```

Computed properties:
* electronic total energy: -64.5 eV/cell
* space-group type: Cmcm, No. 63

---

No. 4
# AcHBr

A relaxed AcHBr crystal (PBE-GGA, Alexandria via LeMat-Bulk).

```
AcHBr
1.0
-3.843 -3.182 -0.688
2.666 -3.092 -0.587
-1.377 0.843 3.796
H Ac Br
1 1 1
Direct
0.215 0.333 0.667
0.111 0.000 0.000
0.674 0.667 0.333
```

Computed properties:
* energy above the most stable polymorph in this dataset: 0.140 eV/atom
* space-group type: P3m1, No. 156

---

No. 5
# AcHBr

A relaxed AcHBr crystal (PBE-GGA, Alexandria via LeMat-Bulk).

```
AcHBr
1.0
-2.456 1.243 -3.464
2.554 -3.257 -0.154
-8.492 -5.543 4.032
Ac H Br
2 2 2
Direct
0.961 0.922 0.339
0.408 0.816 0.038
0.573 0.147 0.263
0.047 0.093 0.113
0.338 0.676 0.524
0.721 0.442 0.853
```

Computed properties:
* energy above the most stable polymorph in this dataset: 0.000 eV/atom
* space-group type: Cm, No. 8

---

No. 6
# Ac6HIr2Br3

A relaxed Ac6HIr2Br3 crystal (PBE-GGA, Alexandria via LeMat-Bulk).

```
Ac6HIr2Br3
1.0
7.479 -0.001 -0.003
-3.739 6.478 -0.003
-1.250 -2.165 8.291
Ac H Ir Br
6 1 2 3
Direct
0.935 0.597 0.806
0.726 0.726 0.194
0.065 0.403 0.194
0.597 0.935 0.806
0.274 0.274 0.806
0.403 0.065 0.194
0.000 0.000 0.000
0.334 0.666 0.000
0.666 0.334 0.000
0.172 0.828 0.500
0.828 0.172 0.500
0.500 0.500 0.500
```

Computed properties:
* electronic total energy: -63.1 eV/cell
* space-group type: C2/m, No. 12

---

No. 7
# Ac8HIr3Br4

A relaxed Ac8HIr3Br4 crystal (PBE-GGA, Alexandria via LeMat-Bulk).

```
Ac8HIr3Br4
1.0
8.659 0.000 0.000
0.000 9.649 0.685
-4.329 -4.328 6.120
Ac H Ir Br
8 1 3 4
Direct
0.233 0.694 0.961
0.233 0.694 0.467
0.269 0.306 0.537
0.728 0.694 0.961
0.272 0.306 0.039
0.731 0.694 0.463
0.767 0.306 0.533
0.767 0.306 0.039
0.000 0.500 0.000
0.500 0.500 0.000
0.500 0.500 0.500
0.000 0.500 0.500
0.500 0.000 0.000
0.500 0.000 0.500
0.000 0.000 0.000
0.000 0.000 0.500
```

Computed properties:
* electronic total energy: -86.6 eV/cell
* space-group type: C2/m, No. 12

---

No. 8
# Ac4NiHBr2

A relaxed Ac4NiHBr2 crystal (PBE-GGA, Alexandria via LeMat-Bulk).

```
Ac4NiHBr2
1.0
-1.049 -2.192 -3.432
2.870 -5.899 2.891
-8.161 0.138 2.405
Ac Ni H Br
4 1 1 2
Direct
0.500 0.241 0.194
0.500 0.759 0.806
0.000 0.269 0.799
0.000 0.731 0.201
0.000 0.000 0.000
0.500 0.500 0.000
0.500 0.000 0.500
0.000 0.500 0.500
```

Computed properties:
* electronic total energy: -35.0 eV/cell
* space-group type: P2/m, No. 10

---

No. 9
# AcHBr2O

A relaxed AcHBr2O crystal (PBE-GGA, Alexandria via LeMat-Bulk).

```
AcHBr2O
1.0
-4.176 -0.217 0.471
0.783 -4.892 4.687
-0.003 8.581 3.933
Ac H Br O
2 2 4 2
Direct
0.250 0.491 0.251
0.750 0.509 0.749
0.250 0.853 0.815
0.750 0.147 0.185
0.750 0.754 0.516
0.750 0.751 0.119
0.250 0.246 0.484
0.250 0.249 0.881
0.250 0.703 0.801
0.750 0.297 0.199
```

Computed properties:
* electronic total energy: -51.9 eV/cell
* space-group type: P2_1/m, No. 11

---

No. 10
# Ac8HOs3Br3

A relaxed Ac8HOs3Br3 crystal (PBE-GGA, Alexandria via LeMat-Bulk).

```
Ac8HOs3Br3
1.0
8.647 0.000 -0.001
-4.323 7.488 -0.030
-0.002 -4.963 8.151
Ac H Os Br
8 1 3 3
Direct
0.267 0.533 0.300
0.733 0.467 0.700
0.765 0.530 0.306
0.235 0.470 0.694
0.764 0.041 0.306
0.236 0.959 0.694
0.277 0.041 0.305
0.723 0.959 0.695
0.000 0.000 0.500
0.500 0.000 0.500
0.500 0.500 0.500
0.000 0.500 0.500
0.000 0.000 0.000
0.000 0.500 0.000
0.500 0.500 0.000
```

Computed properties:
* electronic total energy: -83.8 eV/cell
* space-group type: R-3m, No. 166

---

No. 11
# Ac4HOsBr2

A relaxed Ac4HOsBr2 crystal (PBE-GGA, Alexandria via LeMat-Bulk).

```
Ac4HOsBr2
1.0
4.277 0.000 0.000
0.000 7.146 0.109
0.000 -2.513 8.263
Ac H Os Br
4 1 1 2
Direct
0.500 0.234 0.199
0.500 0.766 0.801
0.000 0.262 0.808
0.000 0.738 0.192
0.000 0.000 0.000
0.500 0.500 0.000
0.500 0.000 0.500
0.000 0.500 0.500
```

Computed properties:
* electronic total energy: -40.5 eV/cell
* space-group type: P2/m, No. 10

---

No. 12
# Ac6HOs2Br2

A relaxed Ac6HOs2Br2 crystal (PBE-GGA, Alexandria via LeMat-Bulk).

```
Ac6HOs2Br2
1.0
-2.050 -7.107 -0.684
6.013 2.382 -3.653
3.235 -0.314 7.782
Ac H Os Br
6 1 2 2
Direct
0.719 0.719 0.702
0.071 0.405 0.698
0.281 0.281 0.298
0.405 0.071 0.698
0.929 0.595 0.302
0.595 0.929 0.302
0.000 0.000 0.500
0.329 0.671 0.500
0.671 0.329 0.500
0.825 0.175 0.000
0.175 0.825 0.000
```

Computed properties:
* electronic total energy: -60.1 eV/cell
* space-group type: C2/m, No. 12

---

DOS(E_F) for the records above, in order: 7.2 0.0 0.0 2.0 3.4 7.1 9.1 7.7 0.0 8.3 4.0 6.8 states/eV/cell